The following is a PBE calculation of a geometry-optimized Li15Pb structure, from Alexandria via LeMat-Bulk.

Output
The calculated density comes out at 1.6 Mg/m³. The value obtained for the formation energy is -62 meV per atom. The space group is P-6m2. Its uncorrected energy is -0.0767 Ha/atom. The spin magnetization is 0.00 μB per cell.

Unit cell a=6.054 b=6.054 c=9.948 alpha=90.00 beta=90.00 gamma=120.00
Sites, in units of the cell vectors:
Li: 0.000 0.000 0.500
Li: 0.998 0.499 0.000
Li: 0.994 0.497 0.500
Li: 0.501 0.002 0.000
Li: 0.503 0.006 0.500
Li: 0.501 0.499 0.000
Li: 0.503 0.497 0.500
Li: 0.836 0.164 0.247
Li: 0.836 0.164 0.753
Li: 0.836 0.671 0.247
Li: 0.836 0.671 0.753
Li: 0.329 0.164 0.247
Li: 0.329 0.164 0.753
Li: 0.333 0.667 0.261
Li: 0.333 0.667 0.739
Pb: 0.000 0.000 0.000